No. 1
MgCoPO | PBE with a Hubbard U | optimized geometry

Properties
**Distance to the lowest polymorph of the same formula**: 0.000 eV/atom
**Volume**: 15.38 Å³/atom
**SG**: P4/nmm, No. 129

Geometry as POSCAR:
```
MgCoPO
1.0
3.895 0.000 0.000
0.000 3.895 0.000
0.000 0.000 8.111
Mg Co P O
2 2 2 2
Cartesian
0.974 0.974 0.091
2.921 2.921 8.020
0.974 2.921 4.055
2.921 0.974 4.055
0.974 0.974 3.087
2.921 2.921 5.024
0.974 2.921 0.000
2.921 0.974 0.000
```

***

No. 2
MgCoPO | PBE with a Hubbard U | optimized geometry

Properties
**Distance to the lowest polymorph of the same formula**: 0.192 eV/atom
**Volume**: 15.56 Å³/atom
**SG**: Pmc2_1, No. 26

Geometry as POSCAR:
```
MgCoPO
1.0
3.303 0.000 0.000
0.000 6.603 0.000
0.000 0.000 5.706
Mg Co P O
2 2 2 2
Cartesian
0.000 1.410 0.000
0.000 5.193 2.853
1.652 2.463 3.358
1.652 4.140 0.505
0.000 1.109 2.643
0.000 5.493 5.496
1.652 2.381 5.340
1.652 4.222 2.487
```

***

No. 3
MgCoPO | PBE with a Hubbard U | optimized geometry

Properties
**Distance to the lowest polymorph of the same formula**: 0.204 eV/atom
**Volume**: 15.36 Å³/atom
**SG**: Pmc2_1, No. 26

Geometry as POSCAR:
```
MgCoPO
1.0
3.105 0.000 0.000
0.000 6.684 0.000
0.000 0.000 5.920
Mg Co P O
2 2 2 2
Cartesian
0.000 0.798 0.000
0.000 5.887 2.960
1.552 2.026 2.467
1.552 4.658 5.427
1.552 2.469 4.738
1.552 4.215 1.778
0.000 0.869 1.952
0.000 5.815 4.912
```

***

No. 4
MgCoPb2O6 | PBE with a Hubbard U | optimized geometry

Properties
**Volume**: 11.12 Å³/atom
**SG**: P-1, No. 2

Geometry as POSCAR:
```
MgCoPb2O6
1.0
5.340 0.000 0.000
2.570 4.688 0.000
2.584 1.517 4.442
Mg Co Pb O
1 1 2 6
Cartesian
0.000 0.000 0.000
5.247 3.103 2.221
2.669 1.574 1.147
7.825 4.631 3.295
3.672 2.742 3.198
5.237 4.865 2.891
4.217 3.693 0.748
6.277 2.512 3.694
5.258 1.340 1.551
6.822 3.463 1.244
```

***

No. 5
MgCoSO | PBE with a Hubbard U | optimized geometry

Properties
**Distance to the lowest polymorph of the same formula**: 0.054 eV/atom
**Volume**: 15.02 Å³/atom
**SG**: Pbca, No. 61

Geometry as POSCAR:
```
MgCoSO
1.0
6.304 0.000 0.000
0.000 6.308 0.000
0.000 0.000 12.088
Mg Co S O
8 8 8 8
Cartesian
0.852 0.292 3.008
0.852 2.862 9.052
2.300 3.446 3.008
2.300 6.016 9.052
4.004 0.292 3.036
4.004 2.862 9.080
5.452 3.446 3.036
5.452 6.016 9.080
0.321 4.718 5.449
0.321 4.744 11.493
2.831 1.564 5.449
2.831 1.590 11.493
3.473 4.718 0.594
3.473 4.744 6.638
5.983 1.564 0.594
5.983 1.590 6.638
1.532 0.024 6.642
1.532 3.130 0.598
1.620 3.178 6.642
1.620 6.284 0.598
4.684 0.024 11.490
4.684 3.130 5.446
4.772 3.178 11.490
4.772 6.284 5.446
0.739 4.611 3.479
0.739 4.851 9.522
2.413 1.457 3.479
2.413 1.697 9.522
3.891 4.611 2.565
3.891 4.851 8.609
5.564 1.457 2.565
5.564 1.697 8.609
```

***

No. 6
MgCoSO | PBE with a Hubbard U | optimized geometry

Properties
**Distance to the lowest polymorph of the same formula**: 0.004 eV/atom
**Volume**: 14.85 Å³/atom
**SG**: Cmc2_1, No. 36

Geometry as POSCAR:
```
MgCoSO
1.0
1.717 -6.314 0.000
1.717 6.314 0.000
0.000 0.000 5.481
Mg Co S O
2 2 2 2
Cartesian
1.717 4.269 2.740
1.717 -4.269 0.000
1.717 0.791 3.217
1.717 -0.791 0.477
1.717 4.128 5.272
1.717 -4.128 2.531
1.717 0.986 5.198
1.717 -0.986 2.458
```

***

No. 7
MgCoSO | PBE with a Hubbard U | optimized geometry

Properties
**Distance to the lowest polymorph of the same formula**: 0.000 eV/atom
**Volume**: 14.48 Å³/atom
**SG**: P6_3mc, No. 186

Geometry as POSCAR:
```
MgCoSO
1.0
3.451 0.000 0.000
-1.726 2.989 0.000
0.000 0.000 11.232
Mg Co S O
2 2 2 2
Cartesian
0.000 1.993 0.000
1.726 0.996 5.616
0.000 0.000 2.542
0.000 0.000 8.158
0.000 1.993 3.656
1.726 0.996 9.272
0.000 0.000 0.629
0.000 0.000 6.245
```

***

No. 8
MgCoSO | PBE with a Hubbard U | optimized geometry

Properties
**Distance to the lowest polymorph of the same formula**: 0.147 eV/atom
**Volume**: 15.48 Å³/atom
**SG**: Pca2_1, No. 29

Geometry as POSCAR:
```
MgCoSO
1.0
6.047 0.000 0.000
0.000 7.239 0.000
0.000 0.000 5.658
Mg Co S O
4 4 4 4
Cartesian
0.686 0.628 0.000
2.338 0.628 2.829
3.710 6.611 0.000
5.361 6.611 2.829
0.315 4.736 0.406
2.709 4.736 3.235
3.338 2.503 0.406
5.733 2.503 3.235
0.439 4.641 3.750
2.585 4.641 0.921
3.463 2.598 3.750
5.608 2.598 0.921
0.527 0.733 3.666
2.497 0.733 0.837
3.550 6.506 3.666
5.521 6.506 0.837
```

***

No. 9
MgCoSO | PBE with a Hubbard U | optimized geometry

Properties
**Distance to the lowest polymorph of the same formula**: 0.298 eV/atom
**Volume**: 14.97 Å³/atom
**SG**: P4/nmm, No. 129

Geometry as POSCAR:
```
MgCoSO
1.0
3.192 0.000 0.000
0.000 3.192 0.000
0.000 0.000 11.756
Mg Co S O
2 2 2 2
Cartesian
0.798 0.798 0.986
2.394 2.394 10.769
0.798 2.394 5.878
2.394 0.798 5.878
0.798 0.798 7.506
2.394 2.394 4.249
0.798 0.798 10.707
2.394 2.394 1.049
```

***

No. 10
MgCoSO | PBE with a Hubbard U | optimized geometry

Properties
**Distance to the lowest polymorph of the same formula**: 0.385 eV/atom
**Volume**: 13.80 Å³/atom
**SG**: Cmcm, No. 63

Geometry as POSCAR:
```
MgCoSO
1.0
1.654 -5.901 0.000
1.654 5.901 0.000
0.000 0.000 5.653
Mg Co S O
2 2 2 2
Cartesian
1.654 4.495 4.240
1.654 -4.495 1.413
1.654 1.067 4.240
1.654 -1.067 1.413
1.654 3.214 1.413
1.654 -3.214 4.240
0.000 0.000 0.000
0.000 0.000 2.827
```

***

No. 11
MgCoSO | PBE with a Hubbard U | optimized geometry

Properties
**Distance to the lowest polymorph of the same formula**: 0.016 eV/atom
**Volume**: 16.49 Å³/atom
**SG**: P2_12_12_1, No. 19

Geometry as POSCAR:
```
MgCoSO
1.0
6.093 0.000 0.000
0.000 6.109 0.000
0.000 0.000 7.087
Mg Co S O
4 4 4 4
Cartesian
0.269 0.749 2.356
2.778 5.360 5.900
3.315 2.305 4.731
5.824 3.804 1.187
0.643 1.793 6.352
2.404 4.316 2.809
3.689 1.262 0.735
5.450 4.847 4.279
0.685 4.121 6.031
2.361 1.988 2.488
3.732 5.043 1.056
5.407 1.066 4.600
0.525 4.905 2.614
2.521 1.204 6.158
3.571 4.258 4.473
5.568 1.851 0.929
```

***

No. 12
MgCoSO | PBE with a Hubbard U | optimized geometry

Properties
**Distance to the lowest polymorph of the same formula**: 0.138 eV/atom
**Volume**: 14.45 Å³/atom
**SG**: Pbcm, No. 57

Geometry as POSCAR:
```
MgCoSO
1.0
3.664 0.000 0.000
0.000 7.518 0.000
0.000 0.000 8.395
Mg Co S O
4 4 4 4
Cartesian
0.018 1.879 0.000
0.018 1.879 4.197
3.645 5.638 0.000
3.645 5.638 4.197
1.809 4.723 2.099
1.809 6.553 6.296
1.855 0.964 2.099
1.855 2.794 6.296
1.832 0.000 0.000
1.832 0.000 4.197
1.832 3.759 0.000
1.832 3.759 4.197
0.014 1.725 2.099
0.014 2.034 6.296
3.649 5.484 2.099
3.649 5.793 6.296
```

***

No. 13
MgCoSO | PBE with a Hubbard U | optimized geometry

Properties
**Distance to the lowest polymorph of the same formula**: 0.556 eV/atom
**Volume**: 16.05 Å³/atom
**SG**: P4/nmm, No. 129

Geometry as POSCAR:
```
MgCoSO
1.0
4.494 0.000 0.000
0.000 4.494 0.000
0.000 0.000 6.358
Mg Co S O
2 2 2 2
Cartesian
1.123 1.123 1.502
3.370 3.370 4.856
1.123 1.123 4.266
3.370 3.370 2.092
1.123 3.370 3.179
3.370 1.123 3.179
1.123 1.123 6.010
3.370 3.370 0.348
```

***

No. 14
MgCoSO | PBE with a Hubbard U | optimized geometry

Properties
**Distance to the lowest polymorph of the same formula**: 0.083 eV/atom
**Volume**: 14.89 Å³/atom
**SG**: Pnma, No. 62

Geometry as POSCAR:
```
MgCoSO
1.0
5.633 0.000 0.000
0.000 3.420 0.000
0.000 0.000 12.367
Mg Co S O
4 4 4 4
Cartesian
0.677 0.855 2.345
2.139 2.565 8.529
3.494 0.855 3.838
4.955 2.565 10.021
1.208 2.565 5.214
1.608 0.855 11.398
4.025 2.565 0.969
4.424 0.855 7.152
1.222 0.855 7.070
1.595 2.565 0.887
4.038 0.855 11.480
4.411 2.565 5.296
1.245 2.565 10.243
1.571 0.855 4.059
4.061 2.565 8.307
4.388 0.855 2.124
```

***

No. 15
MgCoSO | PBE with a Hubbard U | optimized geometry

Properties
**Distance to the lowest polymorph of the same formula**: 0.253 eV/atom
**Volume**: 14.89 Å³/atom
**SG**: Cmc2_1, No. 36

Geometry as POSCAR:
```
MgCoSO
1.0
1.754 -3.018 0.000
1.754 3.018 0.000
0.000 0.000 11.252
Mg Co S O
2 2 2 2
Cartesian
1.754 3.016 0.000
1.754 -3.016 5.626
1.754 0.998 8.289
1.754 -0.998 2.662
1.754 1.000 4.329
1.754 -1.000 9.956
1.754 3.017 1.900
1.754 -3.017 7.526
```

***

No. 16
MgCoSO | PBE with a Hubbard U | optimized geometry

Properties
**Distance to the lowest polymorph of the same formula**: 0.650 eV/atom
**Volume**: 13.80 Å³/atom
**SG**: P4/nmm, No. 129

Geometry as POSCAR:
```
MgCoSO
1.0
3.639 0.000 0.000
0.000 3.639 0.000
0.000 0.000 8.341
Mg Co S O
2 2 2 2
Cartesian
0.910 0.910 1.032
2.729 2.729 7.309
0.910 0.910 5.504
2.729 2.729 2.837
0.910 2.729 4.170
2.729 0.910 4.170
0.910 0.910 7.444
2.729 2.729 0.897
```

***

No. 17
MgCoSO | PBE with a Hubbard U | optimized geometry

Properties
**Distance to the lowest polymorph of the same formula**: 0.252 eV/atom
**Volume**: 15.04 Å³/atom
**SG**: P4/nmm, No. 129

Geometry as POSCAR:
```
MgCoSO
1.0
3.718 0.000 0.000
0.000 3.718 0.000
0.000 0.000 8.704
Mg Co S O
2 2 2 2
Cartesian
0.930 0.930 0.551
2.789 2.789 8.152
0.930 0.930 5.535
2.789 2.789 3.169
0.930 0.930 3.133
2.789 2.789 5.571
0.930 2.789 0.000
2.789 0.930 0.000
```

***

No. 18
MgCoSO | PBE with a Hubbard U | optimized geometry

Properties
**Distance to the lowest polymorph of the same formula**: 0.096 eV/atom
**Volume**: 16.52 Å³/atom
**SG**: P2_12_12_1, No. 19

Geometry as POSCAR:
```
MgCoSO
1.0
5.656 0.000 0.000
0.000 6.749 0.000
0.000 0.000 6.924
Mg Co S O
4 4 4 4
Cartesian
0.211 1.036 0.494
2.617 5.713 3.956
3.039 2.338 6.430
5.445 4.411 2.968
0.031 3.894 6.078
2.797 2.854 2.616
2.859 6.229 0.846
5.625 0.520 4.308
1.218 5.938 6.006
1.610 0.811 2.544
4.046 4.185 0.918
4.438 2.564 4.379
1.149 2.475 6.544
1.679 4.274 3.083
3.977 0.900 0.379
4.507 5.849 3.841
```

***

No. 19
MgCoSO | PBE with a Hubbard U | optimized geometry

Properties
**Distance to the lowest polymorph of the same formula**: 0.075 eV/atom
**Volume**: 14.82 Å³/atom
**SG**: Cmc2_1, No. 36

Geometry as POSCAR:
```
MgCoSO
1.0
1.701 -6.179 0.000
1.701 6.179 0.000
0.000 0.000 5.641
Mg Co S O
2 2 2 2
Cartesian
1.701 5.420 2.820
1.701 -5.420 0.000
1.701 2.128 3.339
1.701 -2.128 0.519
1.701 2.225 0.940
1.701 -2.225 3.761
1.701 5.222 0.889
1.701 -5.222 3.709
```

***

No. 20
MgCoSO | PBE with a Hubbard U | optimized geometry

Properties
**Distance to the lowest polymorph of the same formula**: 0.320 eV/atom
**Volume**: 13.04 Å³/atom
**SG**: Cmcm, No. 63

Geometry as POSCAR:
```
MgCoSO
1.0
1.546 -6.187 0.000
1.546 6.187 0.000
0.000 0.000 5.452
Mg Co S O
2 2 2 2
Cartesian
1.546 5.443 4.089
1.546 -5.443 1.363
1.546 1.709 4.089
1.546 -1.709 1.363
1.546 2.826 1.363
1.546 -2.826 4.089
1.546 0.000 0.000
1.546 0.000 2.726
```

***

| no. | electronic total energy (eV per atom) |
| --- | --- |
| 1 | -5.2649 |
| 2 | -5.0728 |
| 3 | -5.0614 |
| 4 | -5.5712 |
| 5 | -5.1822 |
| 6 | -5.2321 |
| 7 | -5.2358 |
| 8 | -5.0888 |
| 9 | -4.9375 |
| 10 | -4.8510 |
| 11 | -5.2201 |
| 12 | -5.0977 |
| 13 | -4.6803 |
| 14 | -5.1531 |
| 15 | -4.9831 |
| 16 | -4.5857 |
| 17 | -4.9836 |
| 18 | -5.1402 |
| 19 | -5.1607 |
| 20 | -4.9162 |